Density functional theory data (GGA-PBE) for an optimized crystal structure of In2Te3O9.

- theoretical density (Mg/m³) = 5.9
- uncorrected formation energy (eV per atom) = -1.26
- N(E_F) (states/eV/f.u.) = 0.000

```
In2Te3O9
1.0
5.560 0.000 0.000
0.000 8.221 0.000
0.000 0.000 18.577
O Te In
36 12 8
Direct
0.036 0.654 0.373
0.536 0.846 0.873
0.370 0.821 0.041
0.870 0.679 0.541
0.406 0.563 0.573
0.455 0.281 0.673
0.445 0.635 0.750
0.036 0.654 0.127
0.045 0.781 0.673
0.130 0.321 0.459
0.406 0.563 0.927
0.094 0.063 0.573
0.536 0.846 0.627
0.955 0.219 0.173
0.455 0.281 0.827
0.045 0.781 0.827
0.055 0.135 0.750
0.555 0.365 0.250
0.094 0.063 0.927
0.545 0.719 0.327
0.594 0.437 0.073
0.464 0.154 0.127
0.630 0.179 0.959
0.964 0.346 0.627
0.906 0.937 0.427
0.945 0.865 0.250
0.130 0.321 0.041
0.870 0.679 0.959
0.906 0.937 0.073
0.464 0.154 0.373
0.964 0.346 0.873
0.545 0.719 0.173
0.630 0.179 0.541
0.594 0.437 0.427
0.370 0.821 0.459
0.955 0.219 0.327
0.183 0.866 0.131
0.183 0.866 0.369
0.817 0.134 0.869
0.233 0.337 0.750
0.267 0.837 0.750
0.817 0.134 0.631
0.767 0.663 0.250
0.683 0.634 0.869
0.683 0.634 0.631
0.317 0.366 0.131
0.317 0.366 0.369
0.733 0.163 0.250
0.796 0.191 0.436
0.204 0.809 0.936
0.204 0.809 0.564
0.704 0.691 0.436
0.796 0.191 0.064
0.296 0.309 0.936
0.704 0.691 0.064
0.296 0.309 0.564
```

---

Density functional theory data (GGA-PBE) for an optimized crystal structure of InTe2O.

- theoretical density (Mg/m³) = 6.6
- uncorrected formation energy (eV per atom) = -0.02
- distance to the lowest polymorph of the same formula (meV per atom) = 60
- N(E_F) (states/eV/f.u.) = 2.316

```
InTe2O
1.0
1.980 0.000 9.583
-0.990 1.715 9.583
-0.990 -1.715 9.583
In Te O
1 2 1
Direct
0.500 0.500 0.500
0.070 0.070 0.070
0.930 0.930 0.930
0.000 0.000 0.000
```

---

Density functional theory data (GGA-PBE) for an optimized crystal structure of InTeO4.

- theoretical density (Mg/m³) = 6.3
- uncorrected formation energy (eV per atom) = -1.17
- distance to the lowest polymorph of the same formula (meV per atom) = 3

```
InTeO4
1.0
-1.869 -3.830 2.125
3.297 -3.161 -2.798
8.674 0.889 9.232
In O Te
4 16 4
Direct
0.500 0.750 0.327
0.499 0.250 0.669
0.001 0.250 0.169
0.000 0.750 0.827
0.260 0.043 0.059
0.724 0.411 0.808
0.283 0.591 0.184
0.271 0.596 0.955
0.240 0.043 0.559
0.731 0.903 0.955
0.769 0.903 0.455
0.229 0.596 0.455
0.758 0.457 0.559
0.782 0.910 0.684
0.718 0.910 0.184
0.225 0.089 0.308
0.742 0.457 0.059
0.275 0.089 0.808
0.217 0.591 0.683
0.776 0.411 0.308
0.501 0.750 0.073
0.501 0.250 0.921
0.999 0.750 0.573
0.999 0.250 0.421
```

---

Density functional theory data (GGA-PBE) for an optimized crystal structure of In2TeO.

- theoretical density (Mg/m³) = 5.8
- uncorrected formation energy (eV per atom) = -0.54
- distance to the lowest polymorph of the same formula (meV per atom) = 0
- N(E_F) (states/eV/f.u.) = 0.000

```
In2TeO
1.0
-1.501 4.926 3.018
-4.428 1.021 -3.869
-6.716 -0.274 3.010
O Te In
2 2 4
Direct
0.500 0.500 0.000
0.250 0.750 0.500
0.000 0.000 0.000
0.750 0.250 0.500
0.375 0.479 0.750
0.521 0.125 0.250
0.229 0.625 0.250
0.875 0.771 0.750
```

---

Number 1: spin magnetization 0.00 μB per atom. Number 2: spin magnetization 0.00 μB per atom. Number 3: spin magnetization 0.00 μB per atom. Number 4: spin magnetization 0.00 μB per atom.